Record 1
# Hg3TeBr | the Alexandria database | GGA-PBE | relaxed
# total DFT energy (no corrections)	-1.262	eV per atom
# M_tot	0.00	μB per cell
# relative energy among the computed polymorphs	0.000	eV per atom
# volume	367.4	Å³ per cell
# formation energy without anion corrections	-118	meV per atom
data_Hg3TeBr
_chemical_formula_sum 'Hg6 Te2 Br2'
_cell_length_a 8.298
_cell_length_b 8.298
_cell_length_c 8.298
_cell_angle_alpha 56.10
_cell_angle_beta 56.10
_cell_angle_gamma 56.10
_symmetry_space_group_name_H-M 'P 1'
_symmetry_Int_Tables_number 1
_symmetry_space_group_name_Hall 'P 1'
loop_
_atom_site_label
_atom_site_fract_x
_atom_site_fract_y
_atom_site_fract_z
Hg1 0.136 0.744 0.351
Hg2 0.351 0.136 0.744
Hg3 0.744 0.351 0.136
Hg4 0.636 0.851 0.244
Hg5 0.851 0.244 0.636
Hg6 0.244 0.636 0.851
Te1 0.994 0.994 0.994
Te2 0.494 0.494 0.494
Br1 0.746 0.746 0.746
Br2 0.246 0.246 0.246

Record 2
# MnNi3Bi | the Alexandria database | GGA-PBE | relaxed
# total DFT energy (no corrections)	-5.212	eV per atom
# M_tot	0.00	μB per cell
# relative energy among the computed polymorphs	0.000	eV per atom
# volume	82.4	Å³ per cell
data_MnNi3Bi
_chemical_formula_sum 'Mn1 Ni3 Bi1'
_cell_length_a 4.351
_cell_length_b 4.351
_cell_length_c 4.351
_cell_angle_alpha 90.00
_cell_angle_beta 90.00
_cell_angle_gamma 90.00
_symmetry_space_group_name_H-M 'P 1'
_symmetry_Int_Tables_number 1
_symmetry_space_group_name_Hall 'P 1'
loop_
_atom_site_label
_atom_site_fract_x
_atom_site_fract_y
_atom_site_fract_z
Ni1 0.000 0.500 0.000
Ni2 0.000 0.000 0.500
Ni3 0.500 0.000 0.000
Mn1 0.000 0.000 0.000
Bi1 0.500 0.500 0.500

Record 3
# Nd2Dy3PuAs6 | the Alexandria database | GGA-PBE | relaxed
# total DFT energy (no corrections)	-6.893	eV per atom
# M_tot	4.87	μB per cell
# volume	308.3	Å³ per cell
data_Nd2Dy3PuAs6
_chemical_formula_sum 'Nd2 Dy3 Pu1 As6'
_cell_length_a 4.178
_cell_length_b 8.343
_cell_length_c 9.321
_cell_angle_alpha 102.87
_cell_angle_beta 102.95
_cell_angle_gamma 90.00
_symmetry_space_group_name_H-M 'P 1'
_symmetry_Int_Tables_number 1
_symmetry_space_group_name_Hall 'P 1'
loop_
_atom_site_label
_atom_site_fract_x
_atom_site_fract_y
_atom_site_fract_z
Nd1 0.833 0.666 0.667
Nd2 0.167 0.334 0.333
Dy1 0.500 0.500 0.000
Dy2 0.832 0.166 0.665
Dy3 0.168 0.834 0.335
Pu1 0.500 0.000 0.000
As1 0.334 0.923 0.668
As2 0.665 0.589 0.329
As3 0.666 0.077 0.332
As4 0.998 0.247 0.995
As5 0.002 0.753 0.005
As6 0.335 0.411 0.671

Record 4
# Rh2AuSeS | the Alexandria database | GGA-PBE | relaxed
# total DFT energy (no corrections)	-4.608	eV per atom
# M_tot	0.00	μB per cell
# volume	93.8	Å³ per cell
# formation energy without anion corrections	511	meV per atom
data_Rh2AuSeS
_chemical_formula_sum 'Rh2 Au1 Se1 S1'
_cell_length_a 4.349
_cell_length_b 4.349
_cell_length_c 4.962
_cell_angle_alpha 90.00
_cell_angle_beta 90.00
_cell_angle_gamma 90.00
_symmetry_space_group_name_H-M 'P 1'
_symmetry_Int_Tables_number 1
_symmetry_space_group_name_Hall 'P 1'
loop_
_atom_site_label
_atom_site_fract_x
_atom_site_fract_y
_atom_site_fract_z
Rh1 0.000 0.500 0.000
Rh2 0.500 0.000 0.000
S1 0.000 0.000 0.000
Au1 0.500 0.500 0.500
Se1 0.000 0.000 0.500

Record 5
# Pu2CdSb | the Alexandria database | GGA-PBE | relaxed
# total DFT energy (no corrections)	-8.717	eV per atom
# M_tot	12.94	μB per cell
# relative energy among the computed polymorphs	0.041	eV per atom
# volume	107.8	Å³ per cell
# formation energy without anion corrections	-292	meV per atom
data_Pu2CdSb
_chemical_formula_sum 'Pu2 Cd1 Sb1'
_cell_length_a 5.341
_cell_length_b 5.341
_cell_length_c 5.341
_cell_angle_alpha 60.00
_cell_angle_beta 60.00
_cell_angle_gamma 60.00
_symmetry_space_group_name_H-M 'P 1'
_symmetry_Int_Tables_number 1
_symmetry_space_group_name_Hall 'P 1'
loop_
_atom_site_label
_atom_site_fract_x
_atom_site_fract_y
_atom_site_fract_z
Sb1 0.500 0.500 0.500
Cd1 0.000 0.000 0.000
Pu1 0.250 0.250 0.250
Pu2 0.750 0.750 0.750

Record 6
# Sc4Ag2HgPd | the Alexandria database | GGA-PBE | relaxed
# total DFT energy (no corrections)	-5.035	eV per atom
# M_tot	0.00	μB per cell
# volume	160.5	Å³ per cell
data_Sc4Ag2HgPd
_chemical_formula_sum 'Sc4 Ag2 Hg1 Pd1'
_cell_length_a 4.847
_cell_length_b 4.847
_cell_length_c 8.367
_cell_angle_alpha 73.16
_cell_angle_beta 73.16
_cell_angle_gamma 60.00
_symmetry_space_group_name_H-M 'P 1'
_symmetry_Int_Tables_number 1
_symmetry_space_group_name_Hall 'P 1'
loop_
_atom_site_label
_atom_site_fract_x
_atom_site_fract_y
_atom_site_fract_z
Sc1 0.380 0.380 0.860
Sc2 0.871 0.871 0.386
Sc3 0.129 0.129 0.614
Sc4 0.620 0.620 0.140
Ag1 0.747 0.747 0.758
Ag2 0.253 0.253 0.242
Hg1 0.000 0.000 0.000
Pd1 0.500 0.500 0.500

Record 7
# CdReP2 | the Alexandria database | GGA-PBE | relaxed
# total DFT energy (no corrections)	-5.494	eV per atom
# M_tot	0.00	μB per cell
# volume	67.9	Å³ per cell
data_CdReP2
_chemical_formula_sum 'Cd1 Re1 P2'
_cell_length_a 3.230
_cell_length_b 6.671
_cell_length_c 5.393
_cell_angle_alpha 35.72
_cell_angle_beta 90.00
_cell_angle_gamma 90.00
_symmetry_space_group_name_H-M 'P 1'
_symmetry_Int_Tables_number 1
_symmetry_space_group_name_Hall 'P 1'
loop_
_atom_site_label
_atom_site_fract_x
_atom_site_fract_y
_atom_site_fract_z
Cd1 0.000 0.000 0.500
P1 0.000 0.000 0.000
P2 0.500 0.500 0.000
Re1 0.500 0.500 0.500

Record 8
# AlCd3H2Pd9 | the Alexandria database | GGA-PBE | relaxed
# total DFT energy (no corrections)	-4.314	eV per atom
# M_tot	0.00	μB per cell
# volume	226.3	Å³ per cell
data_AlCd3H2Pd9
_chemical_formula_sum 'Al1 Cd3 H2 Pd9'
_cell_length_a 5.873
_cell_length_b 5.873
_cell_length_c 7.577
_cell_angle_alpha 90.00
_cell_angle_beta 90.00
_cell_angle_gamma 120.00
_symmetry_space_group_name_H-M 'P 1'
_symmetry_Int_Tables_number 1
_symmetry_space_group_name_Hall 'P 1'
loop_
_atom_site_label
_atom_site_fract_x
_atom_site_fract_y
_atom_site_fract_z
Al1 0.000 0.000 0.500
Cd1 0.333 0.667 0.652
Cd2 0.000 0.000 0.000
Cd3 0.667 0.333 0.348
H1 0.333 0.667 0.102
H2 0.667 0.333 0.898
Pd1 0.824 0.176 0.697
Pd2 0.824 0.649 0.697
Pd3 0.351 0.176 0.697
Pd4 0.649 0.824 0.303
Pd5 0.176 0.351 0.303
Pd6 0.176 0.824 0.303
Pd7 0.500 0.000 0.000
Pd8 0.000 0.500 0.000
Pd9 0.500 0.500 0.000

Record 9
# CaGaGe | the Alexandria database | GGA-PBE | relaxed
# total DFT energy (no corrections)	-3.706	eV per atom
# M_tot	0.00	μB per cell
# volume	136.2	Å³ per cell
data_CaGaGe
_chemical_formula_sum 'Ca2 Ga2 Ge2'
_cell_length_a 4.246
_cell_length_b 6.081
_cell_length_c 6.081
_cell_angle_alpha 75.16
_cell_angle_beta 69.56
_cell_angle_gamma 69.56
_symmetry_space_group_name_H-M 'P 1'
_symmetry_Int_Tables_number 1
_symmetry_space_group_name_Hall 'P 1'
loop_
_atom_site_label
_atom_site_fract_x
_atom_site_fract_y
_atom_site_fract_z
Ca1 0.000 0.616 0.384
Ca2 0.500 0.165 0.835
Ga1 0.307 0.009 0.376
Ga2 0.693 0.624 0.991
Ge1 0.254 0.729 0.764
Ge2 0.746 0.236 0.271

Record 10
# Ni5Pd12Au | the Alexandria database | GGA-PBE | relaxed
# total DFT energy (no corrections)	-5.217	eV per atom
# M_tot	7.92	μB per cell
# volume	261.2	Å³ per cell
data_Ni5Pd12Au
_chemical_formula_sum 'Ni5 Pd12 Au1'
_cell_length_a 8.300
_cell_length_b 8.171
_cell_length_c 4.702
_cell_angle_alpha 105.46
_cell_angle_beta 90.00
_cell_angle_gamma 59.48
_symmetry_space_group_name_H-M 'P 1'
_symmetry_Int_Tables_number 1
_symmetry_space_group_name_Hall 'P 1'
loop_
_atom_site_label
_atom_site_fract_x
_atom_site_fract_y
_atom_site_fract_z
Ni1 0.500 0.000 0.500
Ni2 0.170 0.659 0.489
Ni3 0.830 0.341 0.511
Ni4 0.666 0.669 0.004
Ni5 0.334 0.331 0.996
Pd1 0.830 0.000 0.500
Pd2 0.170 0.000 0.500
Pd3 0.658 0.000 0.000
Pd4 0.342 0.000 0.000
Pd5 0.334 0.660 0.000
Pd6 0.006 0.660 0.000
Pd7 0.994 0.340 0.000
Pd8 0.666 0.340 0.000
Pd9 0.495 0.333 0.496
Pd10 0.828 0.667 0.504
Pd11 0.172 0.333 0.496
Pd12 0.505 0.667 0.504
Au1 0.000 0.000 0.000